No. 1
## CdRePt2 (GGA-PBE)

Data for an optimized crystal structure of CdRePt2.

```
data_CdRePt2
_chemical_formula_sum 'Cd2 Re2 Pt4'
_cell_length_a 9.170
_cell_length_b 2.778
_cell_length_c 5.207
_cell_angle_alpha 90.00
_cell_angle_beta 97.58
_cell_angle_gamma 90.00
_space_group_name_H-M_alt 'C 1 2/m 1'
_space_group_IT_number 12
loop_
_space_group_symop_operation_xyz
'x,y,z'
'-x,-y,-z'
'-x,y,-z'
'x,-y,z'
'x+1/2,y+1/2,z'
'-x+1/2,-y+1/2,-z'
'-x+1/2,y+1/2,-z'
'x+1/2,-y+1/2,z'
loop_
_atom_site_label
_atom_site_fract_x
_atom_site_fract_y
_atom_site_fract_z
Cd1 0.000 0.000 0.000
Re1 0.000 0.500 0.500
Pt1 0.244 0.000 0.729
```

Properties
- ΔH_f (0 K): 138 meV per atom

***

No. 2
## CdFeW (GGA-PBE)

Data for an optimized crystal structure of CdFeW.

```
data_CdFeW
_chemical_formula_sum 'Cd2 Fe2 W2'
_cell_length_a 2.909
_cell_length_b 2.909
_cell_length_c 11.170
_cell_angle_alpha 90.00
_cell_angle_beta 90.00
_cell_angle_gamma 90.00
_space_group_name_H-M_alt 'I 4 m m'
_space_group_IT_number 107
_space_group_name_Hall 'I 4 -2'
loop_
_atom_site_label
_atom_site_fract_x
_atom_site_fract_y
_atom_site_fract_z
Cd1 0.000 0.000 0.000
Fe1 0.000 0.000 0.323
W1 0.000 0.000 0.703
```

Properties
- Excess energy over the best structure of this formula in the dataset: 0 meV per atom
- ΔH_f (0 K): 389 meV per atom

***

No. 3
## Hf5Cu2H12 (GGA-PBE)

Data for an optimized crystal structure of Hf5Cu2H12.

```
data_Hf5Cu2H12
_chemical_formula_sum 'Hf10 Cu4 H24'
_cell_length_a 9.549
_cell_length_b 5.611
_cell_length_c 6.374
_cell_angle_alpha 90.00
_cell_angle_beta 102.55
_cell_angle_gamma 90.00
_space_group_name_H-M_alt 'C 1 2/m 1'
_space_group_IT_number 12
loop_
_space_group_symop_operation_xyz
'x,y,z'
'-x,-y,-z'
'-x,y,-z'
'x,-y,z'
'x+1/2,y+1/2,z'
'-x+1/2,-y+1/2,-z'
'-x+1/2,y+1/2,-z'
'x+1/2,-y+1/2,z'
loop_
_atom_site_label
_atom_site_fract_x
_atom_site_fract_y
_atom_site_fract_z
Hf1 0.000 0.000 0.000
Hf2 0.164 0.500 0.864
Hf3 0.217 0.500 0.345
Cu1 0.000 0.215 0.500
H1 0.017 0.500 0.340
H2 0.091 0.000 0.377
H3 0.166 0.246 0.098
H4 0.181 0.309 0.601
```

Properties
- VASP energy: -5.378 eV/atom

***

No. 4
## Pr3Y4Sc2 (GGA-PBE)

Data for an optimized crystal structure of Pr3Y4Sc2.

```
data_Pr3Y4Sc2
_chemical_formula_sum 'Pr6 Y8 Sc4'
_cell_length_a 18.408
_cell_length_b 3.570
_cell_length_c 10.580
_cell_angle_alpha 90.00
_cell_angle_beta 125.00
_cell_angle_gamma 90.00
_space_group_name_H-M_alt 'C 1 2/m 1'
_space_group_IT_number 12
loop_
_space_group_symop_operation_xyz
'x,y,z'
'-x,-y,-z'
'-x,y,-z'
'x,-y,z'
'x+1/2,y+1/2,z'
'-x+1/2,-y+1/2,-z'
'-x+1/2,y+1/2,-z'
'x+1/2,-y+1/2,z'
loop_
_atom_site_label
_atom_site_fract_x
_atom_site_fract_y
_atom_site_fract_z
Pr1 0.000 0.000 0.000
Pr2 0.168 0.500 0.327
Y1 0.061 0.500 0.784
Y2 0.112 0.000 0.560
Sc1 0.225 0.000 0.104
```

Properties
- Excess energy over the best structure of this formula in the dataset: 0 meV per atom
- ΔH_f (0 K): 44 meV per atom

***

No. 5
## TaCo4Ir (GGA-PBE)

Data for an optimized crystal structure of TaCo4Ir.

```
data_TaCo4Ir
_chemical_formula_sum 'Ta1 Co4 Ir1'
_cell_length_a 4.0734
_cell_length_b 4.0734
_cell_length_c 5.2236
_cell_angle_alpha 90.00
_cell_angle_beta 90.00
_cell_angle_gamma 120.00
_space_group_name_H-M_alt 'P 6/m m m'
_space_group_IT_number 191
_space_group_name_Hall '-P 6 2'
loop_
_atom_site_label
_atom_site_fract_x
_atom_site_fract_y
_atom_site_fract_z
Ta1 0.0000 0.0000 0.0000
Co1 0.3333 0.6667 0.2562
Ir1 0.0000 0.0000 0.5000
```

Properties
- Excess energy over the best structure of this formula in the dataset: 50 meV per atom
- ΔH_f (0 K): -150 meV per atom

***

No. 6
## LaPd2Pb4 (GGA-PBE)

Data for an optimized crystal structure of LaPd2Pb4.

```
data_LaPd2Pb4
_chemical_formula_sum 'La4 Pd8 Pb16'
_cell_length_a 19.765
_cell_length_b 4.701
_cell_length_c 7.719
_cell_angle_alpha 90.00
_cell_angle_beta 90.00
_cell_angle_gamma 90.00
_space_group_name_H-M_alt 'P n m a'
_space_group_IT_number 62
loop_
_space_group_symop_operation_xyz
'x,y,z'
'-x,-y,-z'
'-x+1/2,-y,z+1/2'
'x+1/2,y,-z+1/2'
'x+1/2,-y+1/2,-z+1/2'
'-x+1/2,y+1/2,z+1/2'
'-x,y+1/2,-z'
'x,-y+1/2,z'
loop_
_atom_site_label
_atom_site_fract_x
_atom_site_fract_y
_atom_site_fract_z
La1 0.144 0.250 0.024
Pd1 0.041 0.750 0.234
Pd2 0.216 0.250 0.532
Pb1 0.032 0.750 0.859
Pb2 0.067 0.250 0.496
Pb3 0.182 0.750 0.318
Pb4 0.192 0.750 0.735
```

Properties
- ΔH_f (0 K): -419 meV per atom

***

no.,density of states at the Fermi level (states/eV per atom)
1,1.062
2,0.621
3,0.115
4,1.387
5,1.081
6,0.356